VASP calculation (PBE with a Hubbard U) on a relaxed structure of BaCoN2F.

The value obtained for the volume is 22.28 A^3/atom. The energy above the most stable polymorph in this dataset is 1.7311 eV/atom.

a b c (Å): 4.774 4.774 4.887
angles (deg): 90.00 90.00 90.00
Last column: magnetic moment on the atom in μB.
Element x y z (fractional)
N (0.500, 0.000, 0.000)  0.63
N (0.000, 0.500, 0.000)  0.63
F (0.000, 0.000, 0.500)  0.00
Co (0.500, 0.500, 0.500)  2.16
Ba (0.000, 0.000, 0.000)  -0.02